DFT (PBE) results for a geometry-optimized Pm2HfSb3Rh4 structure.

POSCAR file:
```
Pm2HfSb3Rh4
1.0
4.344 0.000 0.000
0.000 4.344 0.000
0.000 0.000 11.306
Pm Hf Sb Rh
2 1 3 4
Direct
0.000 0.500 0.233
0.500 0.000 0.767
0.000 0.000 0.500
0.000 0.500 0.865
0.500 0.000 0.135
0.500 0.500 0.500
0.000 0.000 0.000
0.000 0.500 0.636
0.500 0.000 0.364
0.500 0.500 0.000
```

Space-group type = P-4m2, No. 115
Fermi-level density of states = 7.38 states/eV per cell
Raw total energy = -6.98 eV per atom